Record 1
Density functional theory data (GGA-PBE) for a geometry-optimized Y2OsO structure.

The space group is I-42d (No. 122) and the conventional cell measures 6.531, 6.531 and 7.678 Å, with angles of 90.00, 90.00 and 90.00 degrees. The distinct sites, in fractional coordinates, are Y at (0.184, 0.250, 0.125), Os at (0.000, 0.000, 0.500) and O at (0.000, 0.000, 0.000).

Its uncorrected formation energy is -411 kJ/mol of formula units. The uncorrected energy is -8.344 eV per atom.

=====

Record 2
Density functional theory data (GGA-PBE) for a geometry-optimized GaSiSe2 structure.

The space group is R-3m (No. 166, hexagonal axes) and the conventional cell measures 3.7055, 3.7055 and 24.0308 Å, with angles of 90.00, 90.00 and 120.00 degrees. The distinct sites, in fractional coordinates, are Ga at (0.0000, 0.0000, 0.0000), Si at (0.0000, 0.0000, 0.5000) and Se at (0.0000, 0.0000, 0.3946).

Its uncorrected formation energy is 42 kJ/mol of formula units. The uncorrected energy is -3.746 eV per atom.

=====

Record 3
Density functional theory data (GGA-PBE) for a geometry-optimized BeOs2IF structure.

The space group is P4/mmm (No. 123) and the conventional cell measures 4.869, 4.869 and 3.115 Å, with angles of 90.00, 90.00 and 90.00 degrees. The distinct sites, in fractional coordinates, are Be at (0.000, 0.000, 0.000), Os at (0.000, 0.500, 0.500), I at (0.500, 0.500, 0.000) and F at (0.000, 0.000, 0.500).

Its uncorrected formation energy is 550 kJ/mol of formula units. The uncorrected energy is -4.781 eV per atom.

=====

Record 4
Density functional theory data (GGA-PBE) for a geometry-optimized K2TlBr2 structure.

The space group is P4/mbm (No. 127) and the conventional cell measures 9.574, 9.574 and 3.871 Å, with angles of 90.00, 90.00 and 90.00 degrees. The distinct sites, in fractional coordinates, are K at (0.142, 0.358, 0.000), Tl at (0.000, 0.000, 0.000) and Br at (0.153, 0.653, 0.500).

Its uncorrected formation energy is -505 kJ/mol of formula units. The uncorrected energy is -2.627 eV per atom.

=====

Record 5
Density functional theory data (GGA-PBE) for a geometry-optimized MgFeRu structure.

The space group is P4/nmm (No. 129, origin choice 2) and the conventional cell measures 3.849, 3.849 and 6.627 Å, with angles of 90.00, 90.00 and 90.00 degrees. The distinct sites, in fractional coordinates, are Mg at (0.250, 0.250, 0.158), Fe at (0.250, 0.750, 0.500) and Ru at (0.250, 0.250, 0.737).

The energy of formation from the pure elements comes out at 0.227 eV/atom. The uncorrected energy is -6.217 eV per atom.

=====

Record 6
Density functional theory data (GGA-PBE) for a geometry-optimized PmSmBi2 structure.

The space group is P4/mmm (No. 123) and the conventional cell measures 5.948, 5.948 and 3.450 Å, with angles of 90.00, 90.00 and 90.00 degrees. The distinct sites, in fractional coordinates, are Pm at (0.000, 0.000, 0.000), Sm at (0.500, 0.500, 0.000) and Bi at (0.000, 0.500, 0.500).

The energy of formation from the pure elements comes out at -0.739 eV/atom. The uncorrected energy is -5.047 eV per atom.

=====

> The highest uncorrected energy belongs to which entry?

K2TlBr2